Compound: K2PCl
Source: Alexandria
Functional: PBE
Structure: relaxed

abc: 12.5523 4.1747 5.0893
angles: 90.00 92.49 90.00
Space group Cm (No. 8)
Symmetry-distinct sites (fractional):
1 K 0.0000 0.0000 0.0000 [2 per cell]
2 K 0.2448 0.0000 0.5027 [2 per cell]
3 P 0.0141 0.5000 0.5033 [2 per cell]
4 Cl 0.2456 0.5000 0.9984 [2 per cell]

The uncorrected energy comes out at -2.9618 eV/atom. The density of states at the Fermi level comes out at 3.80 states/eV/cell. The calculation puts the energy relative to the elements, uncorrected at -0.599 eV/atom. The value obtained for the energy above the most stable polymorph in this dataset is 140.1 meV per atom.

Compound: KP2Cl
Source: Alexandria
Functional: PBE
Structure: relaxed

abc: 4.9302 3.3421 7.6335
angles: 90.00 101.55 90.00
Space group Pm (No. 6)
Symmetry-distinct sites (fractional):
1 K 0.0000 0.0000 0.0000 [1 per cell]
2 P 0.3493 0.0000 0.4522 [1 per cell]
3 P 0.5943 0.5000 0.5778 [1 per cell]
4 Cl 0.4825 0.5000 0.9447 [1 per cell]

The uncorrected energy comes out at -4.0207 eV/atom. The calculation puts the energy relative to the elements, uncorrected at -0.580 eV/atom. The value obtained for the energy above the most stable polymorph in this dataset is 0.0 meV per atom.

Compound: KPCl2
Source: Alexandria
Functional: PBE
Structure: relaxed

abc: 4.1610 11.5544 7.5673
angles: 90.00 90.00 90.00
Space group Cmmm (No. 65)
Symmetry-distinct sites (fractional):
1 K 0.0000 0.0000 0.0000 [2 per cell]
2 P 0.0000 0.0000 0.5000 [2 per cell]
3 Cl 0.0000 0.5000 0.2932 [4 per cell]

The uncorrected energy comes out at -2.9454 eV/atom. The density of states at the Fermi level comes out at 2.66 states/eV/cell. The calculation puts the energy relative to the elements, uncorrected at -0.395 eV/atom. The value obtained for the energy above the most stable polymorph in this dataset is 246.5 meV per atom.

Compound: K2PCl
Source: Alexandria
Functional: PBE
Structure: relaxed

abc: 7.8872 7.8872 7.8872
angles: 90.00 90.00 90.00
Space group F-43m (No. 216)
Symmetry-distinct sites (fractional):
1 K 0.0000 0.0000 0.0000 [4 per cell]
2 K 0.2500 0.2500 0.2500 [4 per cell]
3 P 0.2500 0.2500 0.7500 [4 per cell]
4 Cl 0.0000 0.0000 0.5000 [4 per cell]

The uncorrected energy comes out at -2.6269 eV/atom. The density of states at the Fermi level comes out at 8.01 states/eV/cell. The calculation puts the energy relative to the elements, uncorrected at -0.264 eV/atom. The value obtained for the energy above the most stable polymorph in this dataset is 475.0 meV per atom.

Compound: KPCl3
Source: Alexandria
Functional: PBE
Structure: relaxed

abc: 5.8868 5.8868 5.8868
angles: 90.00 90.00 90.00
Space group Pm-3m (No. 221)
Symmetry-distinct sites (fractional):
1 K 0.0000 0.0000 0.0000 [1 per cell]
2 P 0.5000 0.5000 0.5000 [1 per cell]
3 Cl 0.0000 0.0000 0.5000 [3 per cell]

The uncorrected energy comes out at -2.1078 eV/atom. The density of states at the Fermi level comes out at 13.09 states/eV/cell. The calculation puts the energy relative to the elements, uncorrected at 0.302 eV/atom. The value obtained for the energy above the most stable polymorph in this dataset is 1372.5 meV per atom.

Compound: KP2Cl
Source: Alexandria
Functional: PBE
Structure: relaxed

abc: 7.1983 7.1983 7.1983
angles: 90.00 90.00 90.00
Space group Fm-3m (No. 225)
Symmetry-distinct sites (fractional):
1 K 0.0000 0.0000 0.0000 [4 per cell]
2 P 0.2500 0.2500 0.2500 [8 per cell]
3 Cl 0.0000 0.0000 0.5000 [4 per cell]

The uncorrected energy comes out at -2.5576 eV/atom. The density of states at the Fermi level comes out at 14.03 states/eV/cell. The calculation puts the energy relative to the elements, uncorrected at 0.883 eV/atom. The value obtained for the energy above the most stable polymorph in this dataset is 1463.1 meV per atom.

Compound: K2PCl
Source: Alexandria
Functional: PBE
Structure: relaxed

abc: 7.8351 4.4761 8.4133
angles: 90.00 107.68 90.00
Space group C2/m (No. 12)
Symmetry-distinct sites (fractional):
1 K 0.2432 0.0000 0.2315 [4 per cell]
2 P 0.0000 0.0000 0.5000 [2 per cell]
3 Cl 0.0000 0.5000 0.0000 [2 per cell]

The uncorrected energy comes out at -3.0106 eV/atom. The density of states at the Fermi level comes out at 4.26 states/eV/cell. The calculation puts the energy relative to the elements, uncorrected at -0.648 eV/atom. The value obtained for the energy above the most stable polymorph in this dataset is 91.2 meV per atom.

Compound: KPCl2
Source: Alexandria
Functional: PBE
Structure: relaxed

abc: 4.7173 3.6841 6.5580
angles: 90.00 109.36 90.00
Space group P2/m (No. 10)
Symmetry-distinct sites (fractional):
1 K 0.0000 0.0000 0.0000 [1 per cell]
2 P 0.5000 0.0000 0.5000 [1 per cell]
3 Cl 0.3841 0.5000 0.7232 [2 per cell]

The uncorrected energy comes out at -3.1088 eV/atom. The density of states at the Fermi level comes out at 0.11 states/eV/cell. The calculation puts the energy relative to the elements, uncorrected at -0.559 eV/atom. The value obtained for the energy above the most stable polymorph in this dataset is 83.1 meV per atom.

> Which formula does entry 5 have?

KPCl3

> What is the uncorrected energy in the sixth record?

-2.5576 eV/atom

> Which value of energy relative to the elements, uncorrected does entry 8 give?

-0.559 eV/atom

> Among the records above, which one has the lowest energy relative to the elements, uncorrected?

number 7